This record from the Alexandria database describes a relaxed CsK2HgSb crystal. The functional is PBE.

Properties
ΔE to the lowest computed polymorph	0	meV per atom
uncorrected formation energy	-0.21	eV per atom
DFT total energy	-1.708	eV/atom

a = 6.785 Å, b = 6.785 Å, c = 7.529 Å
α = 90.00°, β = 90.00°, γ = 90.00°
Positions (direct):
Cs  0.000  0.000  0.000
K  0.000  0.500  0.500
K  0.500  0.000  0.500
Hg  0.500  0.500  0.000
Sb  0.000  0.000  0.500

***

This record from the Alexandria database describes a relaxed CaYCu2 crystal. The functional is PBE.

Properties
DFT total energy	-4.200	eV/atom
energy of formation from the pure elements	-0.142	eV per formula unit

a = 5.668 Å, b = 5.668 Å, c = 4.968 Å
α = 106.47°, β = 106.47°, γ = 34.39°
Positions (direct):
Ca  0.000  0.000  0.000
Y  0.205  0.205  0.633
Cu  0.447  0.447  0.455
Cu  0.765  0.765  0.189

***

This record from the Alexandria database describes a relaxed ZrCuRe2 crystal. The functional is PBE.

Properties
ΔE to the lowest computed polymorph	137	meV per atom
DFT total energy	-9.228	eV/atom
energy of formation from the pure elements	0.629	eV per formula unit

a = 4.871 Å, b = 4.871 Å, c = 4.640 Å
α = 102.64°, β = 102.64°, γ = 37.11°
Positions (direct):
Zr  0.000  0.000  0.000
Cu  0.500  0.500  0.500
Re  0.234  0.234  0.710
Re  0.766  0.766  0.290

***

This record from the Alexandria database describes a relaxed CuTeMo2 crystal. The functional is PBE.

Properties
uncorrected formation energy	0.44	eV per atom
DFT total energy	-6.790	eV/atom

a = 4.791 Å, b = 4.791 Å, c = 4.804 Å
α = 103.07°, β = 103.07°, γ = 39.75°
Positions (direct):
Cu  0.000  0.000  0.000
Te  0.765  0.765  0.271
Mo  0.251  0.251  0.780
Mo  0.529  0.529  0.560

***

This record from the Alexandria database describes a relaxed MgScNi2 crystal. The functional is PBE.

Properties
DFT total energy	-4.911	eV/atom
energy of formation from the pure elements	-0.153	eV per formula unit

a = 8.087 Å, b = 8.087 Å, c = 8.087 Å
α = 21.77°, β = 21.77°, γ = 21.77°
Positions (direct):
Mg  0.000  0.000  0.000
Sc  0.500  0.500  0.500
Ni  0.248  0.248  0.248
Ni  0.752  0.752  0.752

***

This record from the Alexandria database describes a relaxed CeYZn2Ga2 crystal. The functional is PBE.

Properties
DFT total energy	-4.015	eV/atom
energy of formation from the pure elements	-3.091	eV per formula unit

a = 4.425 Å, b = 4.425 Å, c = 7.449 Å
α = 90.00°, β = 90.00°, γ = 120.00°
Positions (direct):
Ce  0.000  0.000  0.000
Y  0.000  0.000  0.500
Zn  0.333  0.667  0.736
Zn  0.667  0.333  0.264
Ga  0.333  0.667  0.253
Ga  0.667  0.333  0.747